[1]
## InB2F (PBE-GGA)

Data for crystalline InB2F at its relaxed geometry.

Its space-group type is I4_1/amd. Its crystal system is tetragonal.

abc: 3.3195 3.3195 11.0232
angles: 81.34 81.34 90.00
Last column: nearest neighbours and their distance in Å.
Positions (direct):
1 B 0.3750 0.1250 0.2500  2 B 1.66
2 B 0.3750 0.6250 0.2500  2 B 1.66
3 B 0.3750 0.6250 0.7500  2 B 1.66
4 B 0.8750 0.6250 0.7500  2 B 1.66
5 F 0.5000 0.5000 0.0000  4 In 2.35
6 F 0.2500 0.7500 0.5000  4 In 2.35
7 In 0.0000 0.0000 0.0000  4 F 2.35
8 In 0.7500 0.2500 0.5000  4 F 2.35

[2]
## InBF2 (PBE-GGA)

Data for crystalline InBF2 at its relaxed geometry.

Its space-group type is R-3m. Its crystal system is trigonal.

abc: 9.7991 9.7991 9.7991
angles: 17.92 17.92 17.92
Last column: nearest neighbours and their distance in Å.
Positions (direct):
1 B 0.0000 0.0000 0.0000  2 F 1.34
2 F 0.9538 0.9538 0.9538  1 B 1.34
3 F 0.0462 0.0462 0.0462  1 B 1.34
4 In 0.5000 0.5000 0.5000  6 In 3.05

Number 1: D(E_F) 0.8 states/eV/f.u., raw total energy -4.40 eV/atom, formation energy without anion corrections 9.1 kJ per mole of atoms. Number 2: D(E_F) 1.6 states/eV/f.u., raw total energy -4.17 eV/atom, formation energy without anion corrections -84.5 kJ per mole of atoms.